LaAg2Te | PBE-GGA | optimized geometry

```
data_LaAg2Te
_symmetry_space_group_name_H-M 'P 4/m m m'
_symmetry_Int_Tables_number 123
_symmetry_space_group_name_Hall '-P 4 2'
_cell_length_a 4.111
_cell_length_b 4.111
_cell_length_c 6.241
_cell_angle_alpha 90.00
_cell_angle_beta 90.00
_cell_angle_gamma 90.00
loop_
_atom_site_label
_atom_site_type_symbol
_atom_site_fract_x
_atom_site_fract_y
_atom_site_fract_z
La1 La 0.000 0.000 0.000
Ag1 Ag 0.500 0.500 0.253
Te1 Te 0.000 0.000 0.500
```

Output
The formation energy (no corrections) comes out at -0.35 eV per atom.